Record 1
Entry from the Alexandria database: Li5Cd4Pd2 after structural relaxation (GGA-PBE).

The theoretical density is 5.77 g/cm3. Its crystal system is orthorhombic. For the calculated volume, the calculation gives 18.2 A^3/atom. The formation energy comes out at -270 meV per atom. The energy above the lowest structure with this stoichiometry is 0 meV per atom.

It has space group Pbam (No. 55), with a = 5.5506 Å, b = 16.6965 Å, c = 4.3308 Å, α = 90.00°, β = 90.00° and γ = 90.00°. The distinct sites, in fractional coordinates, are Li at (0.0000, 0.0000, 0.0000), Li at (0.0280, 0.4006, 0.0000), Li at (0.1214, 0.2283, 0.0000), Cd at (0.1335, 0.8565, 0.5000), Cd at (0.2308, 0.5323, 0.5000) and Pd at (0.1169, 0.6938, 0.5000).

Record 2
Entry from the Alexandria database: Pa2Hg3Pb3 after structural relaxation (GGA-PBE).

The theoretical density is 12.60 g/cm3. Its crystal system is trigonal. For the calculated volume, the calculation gives 27.8 A^3/atom. The formation energy comes out at 206 meV per atom.

It has space group R32 (No. 155, hexagonal axes), with a = 8.1557 Å, b = 8.1557 Å, c = 11.5662 Å, α = 90.00°, β = 90.00° and γ = 120.00°. The distinct sites, in fractional coordinates, are Pa at (0.0000, 0.0000, 0.1939), Hg at (0.0000, 0.2382, 0.5000) and Pb at (0.0000, 0.7050, 0.0000).

Record 3
Entry from the Alexandria database: Ga3SO after structural relaxation (GGA-PBE).

The theoretical density is 3.52 g/cm3. The value obtained for the uncorrected formation energy is 58.2 kJ per mole of atoms. Its crystal system is cubic. For the calculated volume, the calculation gives 24.3 A^3/atom. The energy above the lowest structure with this stoichiometry is 758 meV per atom.

It has space group Pm-3m (No. 221), with a = 4.9527 Å, b = 4.9527 Å, c = 4.9527 Å, α = 90.00°, β = 90.00° and γ = 90.00°. The distinct sites, in fractional coordinates, are Ga at (0.0000, 0.0000, 0.5000), S at (0.0000, 0.0000, 0.0000) and O at (0.5000, 0.5000, 0.5000).

Record 4
Entry from the Alexandria database: Rb2Cd3Bi4Au after structural relaxation (GGA-PBE).

The theoretical density is 7.68 g/cm3. Its crystal system is tetragonal. For the calculated volume, the calculation gives 33.3 A^3/atom. The formation energy comes out at -198 meV per atom.

It has space group P-4m2 (No. 115), with a = 5.1669 Å, b = 5.1669 Å, c = 12.4808 Å, α = 90.00°, β = 90.00° and γ = 90.00°. The distinct sites, in fractional coordinates, are Rb at (0.0000, 0.5000, 0.2379), Cd at (0.0000, 0.0000, 0.0000), Cd at (0.0000, 0.5000, 0.6405), Bi at (0.0000, 0.0000, 0.5000), Bi at (0.0000, 0.5000, 0.8774), Bi at (0.5000, 0.5000, 0.5000) and Au at (0.5000, 0.5000, 0.0000).

Record 5
Entry from the Alexandria database: NbGaBi3 after structural relaxation (GGA-PBE).

The theoretical density is 8.59 g/cm3. Its crystal system is cubic. For the calculated volume, the calculation gives 30.5 A^3/atom. The formation energy comes out at 1177 meV per atom. The energy above the lowest structure with this stoichiometry is 723 meV per atom.

It has space group Pm-3m (No. 221), with a = 5.3450 Å, b = 5.3450 Å, c = 5.3450 Å, α = 90.00°, β = 90.00° and γ = 90.00°. The distinct sites, in fractional coordinates, are Nb at (0.0000, 0.0000, 0.0000), Ga at (0.5000, 0.5000, 0.5000) and Bi at (0.0000, 0.5000, 0.5000).